Entry from Alexandria: a relaxed Ac2LuGa crystal (PBE-GGA).

abc: 4.900 5.172 5.172
angles: 90.00 90.00 90.00
Element x y z (fractional)
Ac: 0.000 0.000 0.500
Ac: 0.000 0.500 0.000
Lu: 0.500 0.500 0.500
Ga: 0.500 0.000 0.000

As for the relative energy among the computed polymorphs: 73 meV per atom. As for the total moment: 0.0 μB/f.u. The value obtained for the density of states at the Fermi level is 1.637 states/eV per atom.